## SrAc2Si6 (PBE)

Data for a geometry-optimized SrAc2Si6 structure.

symmetry: P6/mmm
DFT total energy: -5.172 eV/atom
theoretical density: 5.57 g/cm³
uncorrected formation energy: -0.456 eV/atom

CIF file:
```
data_SrAc2Si6
_cell_length_a 7.313
_cell_length_b 7.313
_cell_length_c 4.574
_cell_angle_alpha 90.00
_cell_angle_beta 90.00
_cell_angle_gamma 120.00
_symmetry_space_group_name_H-M 'P 1'
_symmetry_Int_Tables_number 1
_symmetry_space_group_name_Hall 'P 1'
loop_
_atom_site_label
_atom_site_type_symbol
_atom_site_fract_x
_atom_site_fract_y
_atom_site_fract_z
Sr1 Sr 0.000 0.000 0.000
Ac1 Ac 0.333 0.667 0.000
Ac2 Ac 0.667 0.333 0.000
Si1 Si 0.000 0.334 0.500
Si2 Si 0.000 0.666 0.500
Si3 Si 0.334 0.000 0.500
Si4 Si 0.334 0.334 0.500
Si5 Si 0.666 0.000 0.500
Si6 Si 0.666 0.666 0.500
```

---

## Sr2AcSi (PBE)

Data for a geometry-optimized Sr2AcSi structure.

symmetry: R-3m
DFT total energy: -3.091 eV/atom
theoretical density: 4.30 g/cm³
uncorrected formation energy: 0.133 eV/atom

CIF file:
```
data_Sr2AcSi
_cell_length_a 12.260
_cell_length_b 12.260
_cell_length_c 12.260
_cell_angle_alpha 18.73
_cell_angle_beta 18.73
_cell_angle_gamma 18.73
_symmetry_space_group_name_H-M 'P 1'
_symmetry_Int_Tables_number 1
_symmetry_space_group_name_Hall 'P 1'
loop_
_atom_site_label
_atom_site_type_symbol
_atom_site_fract_x
_atom_site_fract_y
_atom_site_fract_z
Sr1 Sr 0.109 0.109 0.109
Sr2 Sr 0.891 0.891 0.891
Ac1 Ac 0.000 0.000 0.000
Si1 Si 0.500 0.500 0.500
```

---

## SrAcSi (PBE)

Data for a geometry-optimized SrAcSi structure.

symmetry: Cmcm
DFT total energy: -4.016 eV/atom
theoretical density: 5.46 g/cm³
ΔE to the lowest computed polymorph: 19 kJ/mol of formula units
uncorrected formation energy: -0.279 eV/atom

CIF file:
```
data_SrAcSi
_cell_length_a 6.913
_cell_length_b 6.913
_cell_length_c 6.944
_cell_angle_alpha 90.00
_cell_angle_beta 90.00
_cell_angle_gamma 141.07
_symmetry_space_group_name_H-M 'P 1'
_symmetry_Int_Tables_number 1
_symmetry_space_group_name_Hall 'P 1'
loop_
_atom_site_label
_atom_site_type_symbol
_atom_site_fract_x
_atom_site_fract_y
_atom_site_fract_z
Sr1 Sr 0.000 0.000 0.000
Sr2 Sr 0.000 0.000 0.500
Ac1 Ac 0.288 0.712 0.750
Ac2 Ac 0.712 0.288 0.250
Si1 Si 0.376 0.624 0.250
Si2 Si 0.624 0.376 0.750
```

---

## SrAc2Si (PBE)

Data for a geometry-optimized SrAc2Si structure.

symmetry: Cmcm
DFT total energy: -4.063 eV/atom
theoretical density: 6.23 g/cm³
ΔE to the lowest computed polymorph: 0 kJ/mol of formula units
uncorrected formation energy: -0.232 eV/atom

CIF file:
```
data_SrAc2Si
_cell_length_a 7.334
_cell_length_b 7.334
_cell_length_c 9.799
_cell_angle_alpha 90.00
_cell_angle_beta 90.00
_cell_angle_gamma 144.80
_symmetry_space_group_name_H-M 'P 1'
_symmetry_Int_Tables_number 1
_symmetry_space_group_name_Hall 'P 1'
loop_
_atom_site_label
_atom_site_type_symbol
_atom_site_fract_x
_atom_site_fract_y
_atom_site_fract_z
Sr1 Sr 0.071 0.929 0.750
Sr2 Sr 0.929 0.071 0.250
Ac1 Ac 0.350 0.650 0.560
Ac2 Ac 0.350 0.650 0.940
Ac3 Ac 0.650 0.350 0.060
Ac4 Ac 0.650 0.350 0.440
Si1 Si 0.257 0.743 0.250
Si2 Si 0.743 0.257 0.750
```